1.
Below is crystalline Sc2BeC2 at its relaxed geometry, with properties calculated at the GGA-PBE level.

a = 6.8530 Å, b = 6.8530 Å, c = 6.8530 Å
α = 151.86°, β = 151.86°, γ = 40.22°
Fractional positions:
Sc (0.1359, 0.1359, 0.0000)
Sc (0.8641, 0.8641, 0.0000)
Be (0.5000, 0.5000, 0.0000)
C (0.2500, 0.7500, 0.5000)
C (0.7500, 0.2500, 0.5000)

Density in g/cm³: 2.86
Formation enthalpy at 0 K in kcal/mol of atoms: 17.49
Magnetic moment in μB per atom: 0.000
Polymorph energy (0 for the lowest one) in meV/atom: 1125
Calculated total energy in eV per atom: -6.21

---

2.
Below is crystalline K3Hg4F12 at its relaxed geometry, with properties calculated at the GGA-PBE level.

a = 7.7641 Å, b = 7.7641 Å, c = 7.7641 Å
α = 109.47°, β = 109.47°, γ = 109.47°
Fractional positions:
K (0.0000, 0.5000, 0.5000)
K (0.5000, 0.0000, 0.5000)
K (0.5000, 0.5000, 0.0000)
Hg (0.0000, 0.0000, 0.5000)
Hg (0.0000, 0.5000, 0.0000)
Hg (0.5000, 0.0000, 0.0000)
Hg (0.5000, 0.5000, 0.5000)
F (0.0698, 0.2977, 0.7721)
F (0.2279, 0.5256, 0.2977)
F (0.2279, 0.9302, 0.7023)
F (0.2977, 0.2279, 0.5256)
F (0.2977, 0.7721, 0.0698)
F (0.4744, 0.7023, 0.7721)
F (0.5256, 0.2977, 0.2279)
F (0.7023, 0.2279, 0.9302)
F (0.7023, 0.7721, 0.4744)
F (0.7721, 0.0698, 0.2977)
F (0.7721, 0.4744, 0.7023)
F (0.9302, 0.7023, 0.2279)

Density in g/cm³: 5.29
Uncorrected formation energy in eV/atom: -1.836
Magnetic moment in μB per atom: 0.000
Calculated total energy in eV per atom: -3.25

---

3.
Below is crystalline Ac2PuTiN5 at its relaxed geometry, with properties calculated at the GGA-PBE level.

a = 7.4828 Å, b = 7.4828 Å, c = 10.9141 Å
α = 90.00°, β = 90.00°, γ = 152.41°
Fractional positions:
Ac (0.1080, 0.8920, 0.5000)
Ac (0.1335, 0.8665, 0.1022)
Ac (0.8665, 0.1335, 0.6022)
Ac (0.8920, 0.1080, 0.0000)
Pu (0.2095, 0.7905, 0.8136)
Pu (0.7905, 0.2095, 0.3136)
Ti (0.4884, 0.5116, 0.2728)
Ti (0.5116, 0.4884, 0.7728)
N (0.0519, 0.9481, 0.8351)
N (0.2819, 0.7181, 0.4395)
N (0.3037, 0.6963, 0.1941)
N (0.3779, 0.6221, 0.8114)
N (0.4960, 0.5040, 0.6004)
N (0.5040, 0.4960, 0.1004)
N (0.6221, 0.3779, 0.3114)
N (0.6963, 0.3037, 0.6941)
N (0.7181, 0.2819, 0.9395)
N (0.9481, 0.0519, 0.3351)

Density in g/cm³: 9.58
Uncorrected formation energy in eV/atom: -1.226
Magnetic moment in μB per atom: 0.333
Calculated total energy in eV per atom: -9.23

---

What is the magnetic moment in the first record?
0.000 μB per atom

---

Please write out number 2 again, unchanged.
Below is crystalline K3Hg4F12 at its relaxed geometry, with properties calculated at the GGA-PBE level.

a = 7.7641 Å, b = 7.7641 Å, c = 7.7641 Å
α = 109.47°, β = 109.47°, γ = 109.47°
Fractional positions:
K (0.0000, 0.5000, 0.5000)
K (0.5000, 0.0000, 0.5000)
K (0.5000, 0.5000, 0.0000)
Hg (0.0000, 0.0000, 0.5000)
Hg (0.0000, 0.5000, 0.0000)
Hg (0.5000, 0.0000, 0.0000)
Hg (0.5000, 0.5000, 0.5000)
F (0.0698, 0.2977, 0.7721)
F (0.2279, 0.5256, 0.2977)
F (0.2279, 0.9302, 0.7023)
F (0.2977, 0.2279, 0.5256)
F (0.2977, 0.7721, 0.0698)
F (0.4744, 0.7023, 0.7721)
F (0.5256, 0.2977, 0.2279)
F (0.7023, 0.2279, 0.9302)
F (0.7023, 0.7721, 0.4744)
F (0.7721, 0.0698, 0.2977)
F (0.7721, 0.4744, 0.7023)
F (0.9302, 0.7023, 0.2279)

Density in g/cm³: 5.29
Uncorrected formation energy in eV/atom: -1.836
Magnetic moment in μB per atom: 0.000
Calculated total energy in eV per atom: -3.25